Compound: MnSnGeO5
Source: the Alexandria database
Functional: GGA+U
Structure: relaxed

Cell and atoms, written as POSCAR:
```
MnSnGeO5
1.0
5.6059 0.0909 -0.0499
-1.5495 5.3882 -0.0499
-1.7425 -2.3537 6.8023
Ge O Mn Sn
2 10 2 2
direct
0.3245 0.6755 0.7500
0.6755 0.3245 0.2500
0.9033 0.0967 0.7500
0.3326 0.9122 0.6291
0.9122 0.3326 0.1291
0.7177 0.6296 0.4204
0.6674 0.0878 0.3709
0.0878 0.6674 0.8709
0.6296 0.7177 0.9204
0.2823 0.3704 0.5796
0.3704 0.2823 0.0796
0.0967 0.9033 0.2500
0.6693 0.3307 0.7500
0.3307 0.6693 0.2500
0.0000 0.0000 0.5000
0.0000 0.0000 0.0000
```

Values from the calculation:
Size of the total moment ... 10.00 μB per cell
Energy ... -54.03 eV per formula unit
V ... 205 Å³/cell